Entry from the Alexandria database: a relaxed Lu3Cu5H12 crystal (PBE-GGA).

Values from the calculation:
The value obtained for the volume is 9.2 A^3/atom. The total energy is -3.915 eV/atom. For the total magnetization, the calculation gives 0.001 μB per cell.

a = 11.358 Å, b = 11.358 Å, c = 11.358 Å
α = 90.00°, β = 90.00°, γ = 90.00°
Space group Ia-3d (No. 230)
Symmetry-distinct sites (fractional):
Lu 0.000 0.250 0.125 (multiplicity 24)
Cu 0.000 0.000 0.000 (multiplicity 16)
Cu 0.000 0.250 0.375 (multiplicity 24)
H 0.028 0.056 0.652 (multiplicity 96)